No. 1
First-principles (meta-GGA SCAN) data for La2CdPb at its PBEsol-relaxed geometry, as listed in Alexandria via LeMat-Bulk.

a = 4.3257 Å, b = 5.2158 Å, c = 5.2158 Å
α = 89.99°, β = 90.00°, γ = 90.00°
Closest atoms and distances in Å follow each position.
Element x y z (fractional)
Pb 0.5000 0.5000 0.5000  8 La 3.39, 4 Cd 3.69
La 0.0000 0.0000 0.5000  4 Cd 3.39, 4 Pb 3.39, 4 La 3.69
La 0.0000 0.5000 0.0000  4 Pb 3.39, 4 Cd 3.39, 4 La 3.69
Cd 0.5000 0.0000 0.0000  8 La 3.39, 4 Pb 3.69

## Properties
Its energy relative to the elements is -0.6696 eV/atom. Its symmetry is P4/mmm.



No. 2
First-principles (meta-GGA SCAN) data for SrIrRh2 at its PBEsol-relaxed geometry, as listed in Alexandria via LeMat-Bulk.

a = 2.8921 Å, b = 2.8921 Å, c = 8.1374 Å
α = 90.00°, β = 90.00°, γ = 90.00°
Closest atoms and distances in Å follow each position.
Element x y z (fractional)
Ir 0.5000 0.5000 0.5000  8 Rh 2.64, 4 Ir 2.89
Rh 0.0000 0.0000 0.7056  4 Ir 2.64, 4 Rh 2.89
Rh 0.0000 0.0000 0.2944  4 Ir 2.64, 4 Rh 2.89
Sr 0.5000 0.5000 0.0000  4 Sr 2.89, 8 Rh 3.15

## Properties
Its energy relative to the elements is 0.2347 eV/atom. Its symmetry is P4/mmm. For the excess energy over the best structure of this formula in the dataset, the calculation gives 0.0 kJ/mol of atoms.



No. 3
First-principles (meta-GGA SCAN) data for ScMnRu2 at its PBEsol-relaxed geometry, as listed in Alexandria via LeMat-Bulk.

a = 3.0601 Å, b = 4.2602 Å, c = 5.1425 Å
α = 114.40°, β = 107.31°, γ = 90.00°
Closest atoms and distances in Å follow each position.
Element x y z (fractional)
Mn 0.7391 0.2385 0.4783  6 Ru 2.61-2.63, 2 Sc 2.79
Ru 0.0005 0.0011 0.0009  2 Mn 2.61, 4 Sc 2.62, 2 Ru 2.64
Ru 0.2579 0.7574 0.5158  4 Mn 2.63, 2 Ru 2.64, 2 Sc 2.73
Sc 0.5025 0.5029 0.0050  6 Ru 2.62-2.73, 2 Mn 2.79

## Properties
Its energy relative to the elements is -0.2960 eV/atom. Its symmetry is Cm.



No. 4
First-principles (meta-GGA SCAN) data for Sr2GeH at its PBEsol-relaxed geometry, as listed in Alexandria via LeMat-Bulk.

a = 6.4649 Å, b = 6.4649 Å, c = 6.4649 Å
α = 105.67°, β = 111.40°, γ = 111.40°
Closest atoms and distances in Å follow each position.
Element x y z (fractional)
Sr 0.9290 0.5540 0.1250  2 H 2.44
Sr 0.0710 0.1960 0.6250  2 H 2.44
Sr 0.5710 0.3750 0.4460  2 H 2.44
Sr 0.4290 0.8750 0.8040  2 H 2.44
Ge 0.0000 0.0000 0.0000  4 Sr 3.12
Ge 0.5000 0.7500 0.2500  4 Sr 3.12
H 0.0000 0.5000 0.5000  4 Sr 2.44
H 0.5000 0.2500 0.7500  4 Sr 2.44

## Properties
Its symmetry is I-42d. As for the total energy: -137.0 eV per cell.



No. 5
First-principles (meta-GGA SCAN) data for ZnCdIn2 at its PBEsol-relaxed geometry, as listed in Alexandria via LeMat-Bulk.

a = 3.3150 Å, b = 5.1440 Å, c = 5.4570 Å
α = 101.83°, β = 90.00°, γ = 108.80°
Closest atoms and distances in Å follow each position.
Element x y z (fractional)
Zn 0.0000 0.0000 0.5000  6 In 2.94-3.07, 4 Cd 3.19
Cd 0.5000 0.0000 0.0000  6 In 3.01-3.09, 4 Zn 3.19, 2 Cd 3.31
In 0.7418 0.4836 0.7374  3 Zn 2.94-3.07, 3 Cd 3.01-3.09, 4 In 3.11-3.28
In 0.2582 0.5164 0.2626  3 Zn 2.94-3.07, 3 Cd 3.01-3.09, 4 In 3.11-3.28

## Properties
Its energy relative to the elements is 0.1348 eV/atom. Its symmetry is C2/m. For the excess energy over the best structure of this formula in the dataset, the calculation gives 5.2 kJ/mol of atoms.



No. 6
First-principles (meta-GGA SCAN) data for SrYAs at its PBEsol-relaxed geometry, as listed in Alexandria via LeMat-Bulk.

a = 4.1374 Å, b = 4.1374 Å, c = 6.8791 Å
α = 90.00°, β = 90.00°, γ = 120.00°
Closest atoms and distances in Å follow each position.
Element x y z (fractional)
Y 0.6667 0.3333 0.2343  3 As 2.78
Sr 0.3333 0.6667 0.7392  3 As 3.10
As 0.0000 0.0000 0.0265  3 Y 2.78, 3 Sr 3.10

## Properties
Its energy relative to the elements is -0.9807 eV/atom. Its symmetry is P3m1.